Record 1
Entry from Alexandria: a crystal of KAlSb4 relaxed with PBEsol (SCAN).

Summary:
Energy relative to the elements, uncorrected   -0.258 eV/atom

```
data_KAlSb4
_space_group_name_H-M_alt 'P n m a'
_space_group_IT_number 62
_cell_length_a 10.2405
_cell_length_b 4.2216
_cell_length_c 17.8948
_cell_angle_alpha 90.00
_cell_angle_beta 90.00
_cell_angle_gamma 90.00
loop_
_space_group_symop_operation_xyz
'x,y,z'
'-x,-y,-z'
'-x+1/2,-y,z+1/2'
'x+1/2,y,-z+1/2'
'x+1/2,-y+1/2,-z+1/2'
'-x+1/2,y+1/2,z+1/2'
'-x,y+1/2,-z'
'x,-y+1/2,z'
loop_
_atom_site_label
_atom_site_fract_x
_atom_site_fract_y
_atom_site_fract_z
_atom_site_occupancy
K1 0.1748 0.2500 0.0655 1
Al1 0.1811 0.7500 0.3686 1
Sb1 0.0403 0.2500 0.5494 1
Sb2 0.0698 0.7500 0.7522 1
Sb3 0.1174 0.7500 0.2236 1
Sb4 0.1690 0.7500 0.9012 1
```

=====

Record 2
Entry from Alexandria: a crystal of CrHgRh2 relaxed with PBEsol (SCAN).

Summary:
E_form   0.11 eV per atom

```
data_CrHgRh2
_space_group_name_H-M_alt 'C 1 m 1'
_space_group_IT_number 8
_cell_length_a 9.0865
_cell_length_b 2.8361
_cell_length_c 4.7113
_cell_angle_alpha 90.00
_cell_angle_beta 101.87
_cell_angle_gamma 90.00
loop_
_space_group_symop_operation_xyz
'x,y,z'
'x,-y,z'
'x+1/2,y+1/2,z'
'x+1/2,-y+1/2,z'
loop_
_atom_site_label
_atom_site_fract_x
_atom_site_fract_y
_atom_site_fract_z
_atom_site_occupancy
Cr1 0.0000 0.0000 0.0000 1
Hg1 0.2593 0.5000 0.3000 1
Rh1 0.0176 0.5000 0.5603 1
Rh2 0.2662 0.0000 0.8083 1
```

=====

Number 1: uncorrected energy -166.67 eV per formula unit. Number 2: uncorrected energy -153.65 eV per formula unit.